NaSrFeRe | PBE | relaxed

Calculated values
The calculation puts the size of the total moment at 5.9 μB/cell. The symmetry is No. 216.

Cell lengths 5.077, 5.077, 5.077 Å; angles 60.00, 60.00, 60.00 degrees
Fractional coordinates of all 4 atoms:
Sr (0.250, 0.250, 0.250)
Re (0.500, 0.500, 0.500)
Na (0.750, 0.750, 0.750)
Fe (0.000, 0.000, 0.000)

---

TbZrCd2Ag4 | PBE | relaxed

Calculated values
The calculation puts the size of the total moment at 0.0 μB/cell. The symmetry is No. 123.

Cell lengths 4.890, 4.890, 6.833 Å; angles 90.00, 90.00, 90.00 degrees
Fractional coordinates of all 8 atoms:
Tb (0.000, 0.000, 0.500)
Cd (0.000, 0.000, 0.000)
Cd (0.500, 0.500, 0.500)
Zr (0.500, 0.500, 0.000)
Ag (0.500, 0.000, 0.763)
Ag (0.000, 0.500, 0.763)
Ag (0.000, 0.500, 0.237)
Ag (0.500, 0.000, 0.237)

---

NaFeAgS3 | PBE | relaxed

Calculated values
The calculation puts the size of the total moment at 4.6 μB/cell. The symmetry is No. 63.

Cell lengths 6.872, 6.872, 9.833 Å; angles 90.00, 90.00, 29.25 degrees
Each line ends with the local moment (μB).
Fractional coordinates of all 12 atoms:
Ag (0.415, 0.415, 0.750)  0.05
Ag (0.585, 0.585, 0.250)  0.05
S (0.941, 0.941, 0.250)  0.07
S (0.616, 0.616, 0.489)  -0.01
S (0.384, 0.384, 0.989)  -0.01
S (0.059, 0.059, 0.750)  0.07
S (0.384, 0.384, 0.511)  -0.01
S (0.616, 0.616, 0.011)  -0.01
Na (0.726, 0.726, 0.750)  0.00
Na (0.274, 0.274, 0.250)  0.00
Fe (0.000, 0.000, 0.500)  2.12
Fe (0.000, 0.000, 0.000)  2.10

---

ZrNbTc2 | PBE | relaxed

Calculated values
The calculation puts the size of the total moment at 0.0 μB/cell. The symmetry is No. 62.

Cell lengths 5.787, 6.649, 7.553 Å; angles 90.00, 90.00, 90.00 degrees
Fractional coordinates of all 16 atoms:
Tc (0.090, 0.037, 0.301)
Tc (0.590, 0.963, 0.199)
Tc (0.410, 0.463, 0.801)
Tc (0.910, 0.963, 0.699)
Tc (0.410, 0.037, 0.801)
Tc (0.910, 0.537, 0.699)
Tc (0.590, 0.537, 0.199)
Tc (0.090, 0.463, 0.301)
Zr (0.649, 0.250, 0.469)
Zr (0.149, 0.750, 0.031)
Zr (0.351, 0.750, 0.531)
Zr (0.851, 0.250, 0.969)
Nb (0.337, 0.250, 0.089)
Nb (0.663, 0.750, 0.911)
Nb (0.163, 0.250, 0.589)
Nb (0.837, 0.750, 0.411)

---

NaNb2 | PBE | relaxed

Calculated values
The calculation puts the size of the total moment at 18.2 μB/cell. The symmetry is No. 227.

Cell lengths 9.307, 9.307, 9.307 Å; angles 60.00, 60.00, 60.00 degrees
Each line ends with the local moment (μB).
Fractional coordinates of all 6 atoms:
Nb (0.375, 0.375, 0.875)  3.15
Nb (0.375, 0.375, 0.375)  3.15
Nb (0.375, 0.875, 0.375)  3.09
Nb (0.875, 0.375, 0.375)  3.26
Na (0.500, 0.500, 0.500)  0.05
Na (0.250, 0.250, 0.250)  0.05

---

Li2Pm2Ni15 | PBE | relaxed

Calculated values
The calculation puts the size of the total moment at 4.7 μB/cell. The symmetry is No. 166.

Cell lengths 6.290, 6.290, 6.290 Å; angles 83.39, 83.39, 83.39 degrees
Each line ends with the local moment (μB).
Fractional coordinates of all 19 atoms:
Pm (0.657, 0.657, 0.657)  -0.06
Pm (0.343, 0.343, 0.343)  -0.06
Ni (0.000, 0.500, 0.000)  0.36
Ni (0.658, 0.658, 0.157)  0.34
Ni (0.500, 0.000, 0.000)  0.37
Ni (0.157, 0.658, 0.658)  0.34
Ni (0.699, 0.301, 0.000)  0.34
Ni (0.000, 0.000, 0.500)  0.38
Ni (0.000, 0.301, 0.699)  0.32
Ni (0.301, 0.699, 0.000)  0.34
Ni (0.301, 0.000, 0.699)  0.34
Ni (0.000, 0.699, 0.301)  0.32
Ni (0.658, 0.157, 0.658)  0.33
Ni (0.342, 0.342, 0.843)  0.34
Ni (0.699, 0.000, 0.301)  0.34
Ni (0.843, 0.342, 0.342)  0.34
Ni (0.342, 0.843, 0.342)  0.33
Li (0.907, 0.907, 0.907)  -0.01
Li (0.093, 0.093, 0.093)  -0.01

---

MgInNi2 | PBE | relaxed

Calculated values
The calculation puts the size of the total moment at 0.0 μB/cell. The symmetry is No. 123.

Cell lengths 4.291, 4.291, 3.205 Å; angles 90.00, 90.00, 90.00 degrees
Fractional coordinates of all 4 atoms:
Mg (0.500, 0.500, 0.000)
Ni (0.500, 0.000, 0.500)
Ni (0.000, 0.500, 0.500)
In (0.000, 0.000, 0.000)

---

AcZnNi | PBE | relaxed

Calculated values
The calculation puts the size of the total moment at 0.0 μB/cell. The symmetry is No. 187.

Cell lengths 4.360, 4.360, 4.150 Å; angles 90.00, 90.00, 120.00 degrees
Fractional coordinates of all 3 atoms:
Ni (0.667, 0.333, 0.500)
Ac (0.000, 0.000, 0.000)
Zn (0.333, 0.667, 0.500)

---

ThZn | PBE | relaxed

Calculated values
The calculation puts the size of the total moment at 0.0 μB/cell. The symmetry is No. 6.

Cell lengths 5.008, 9.892, 4.979 Å; angles 90.00, 90.00, 75.34 degrees
Fractional coordinates of all 10 atoms:
Zn (0.582, 0.036, 0.500)
Zn (0.790, 0.600, 0.500)
Zn (0.488, 0.166, 0.000)
Zn (0.053, 0.034, 0.000)
Zn (0.019, 0.164, 0.500)
Th (0.661, 0.832, 0.000)
Th (0.172, 0.830, 0.500)
Th (0.271, 0.600, 0.000)
Th (0.403, 0.370, 0.500)
Th (0.894, 0.368, 0.000)

---

no.,total DFT energy (no corrections) (eV per atom)
1,-4.397
2,-3.482
3,-4.384
4,-9.716
5,-2.940
6,-5.308
7,-4.049
8,-3.975
9,-4.342